No. 1
The following is a GGA-PBEsol calculation of crystalline MnBe3 at its relaxed geometry, from Alexandria.

a b c (Å): 2.2972 3.1396 4.7174
angles (deg): 90.00 90.00 90.00
Last column: nearest neighbours and their distance in Å.
Space group Pmmm (No. 47)
One atom of each set of equivalent atoms:
1 Mn 0.0000 0.0000 0.0000  10 Be 2.29-2.36, 2 Mn 2.30
2 Be 0.0000 0.0000 0.5000  10 Be 2.26-2.30, 2 Mn 2.36
3 Be 0.5000 0.5000 0.2547  8 Be 2.26-2.40, 4 Mn 2.29

## Properties
- Calculated formation energy: 0.032 eV/atom
- Mass density: 4.001 g/cm³


No. 2
The following is a GGA-PBEsol calculation of crystalline TiGaSiCl2 at its relaxed geometry, from Alexandria.

a b c (Å): 4.5672 4.5672 5.2349
angles (deg): 90.00 90.00 90.00
Last column: nearest neighbours and their distance in Å.
Space group P4/mmm (No. 123)
One atom of each set of equivalent atoms:
1 Ti 0.0000 0.0000 0.0000  4 Cl 2.28
2 Ga 0.5000 0.5000 0.5000  4 Si 3.23, 8 Cl 3.47
3 Si 0.0000 0.0000 0.5000  2 Ti 2.62
4 Cl 0.0000 0.5000 0.0000  2 Ti 2.28

## Properties
- Mass density: 3.294 g/cm³
- Uncorrected formation energy: -0.336 eV/atom


No. 3
The following is a GGA-PBEsol calculation of crystalline Zr3GaP at its relaxed geometry, from Alexandria.

a b c (Å): 4.7825 4.7825 4.7825
angles (deg): 90.00 90.00 90.00
Last column: nearest neighbours and their distance in Å.
Space group Pm-3m (No. 221)
One atom of each set of equivalent atoms:
1 Zr 0.0000 0.0000 0.5000  2 P 2.39
2 Ga 0.5000 0.5000 0.5000  12 Zr 3.38
3 P 0.0000 0.0000 0.0000  6 Zr 2.39

## Properties
- Calculated formation energy: -0.346 eV/atom
- Mass density: 5.683 g/cm³


No. 4
The following is a GGA-PBEsol calculation of crystalline BaHg2Os at its relaxed geometry, from Alexandria.

a b c (Å): 7.2301 7.2301 7.2301
angles (deg): 90.00 90.00 90.00
Last column: nearest neighbours and their distance in Å.
Space group Fm-3m (No. 225)
One atom of each set of equivalent atoms:
1 Ba 0.0000 0.0000 0.0000  8 Hg 3.13
2 Hg 0.2500 0.2500 0.2500  4 Os 3.13, 4 Ba 3.13
3 Os 0.0000 0.0000 0.5000  8 Hg 3.13

## Properties
- Calculated formation energy: 0.642 eV/atom
- Mass density: 12.807 g/cm³
- Energy above the most stable polymorph in this dataset: 0.0 meV per atom


So what do the calculations give for DFT total energy? Going down the list: -21.63; -23.10; -38.13; -51.72 eV for the cell shown.